{"formula": "HfMo3W2", "functional": "PBE-GGA", "state": "relaxed", "space_group": "P4/mmm (123)", "m_tot_mub_per_atom": 0.000, "formation_energy_mev_per_atom": -78, "lattice_angstrom": [[3.2000, 0.0000, 0.0000], [0.0000, 3.2000, 0.0000], [0.0000, 0.0000, 9.7791]], "species": ["Hf", "Mo", "Mo", "Mo", "W", "W"], "frac_coords": [[0.0000, 0.0000, 0.0000], [0.5000, 0.5000, 0.1804], [0.5000, 0.5000, 0.5000], [0.5000, 0.5000, 0.8196], [0.0000, 0.0000, 0.3367], [0.0000, 0.0000, 0.6633]]}